Entry 1:
Entry from Alexandria: an optimized crystal structure of SrTaTcSe2 (GGA-PBE).

- DOS at the Fermi energy (states/eV per atom) = 1.656
- total DFT energy (no corrections) (eV per atom) = -3.868
- SG = P4/mmm (123)

Lattice parameters (Å, degrees): 5.4303 5.4303 5.5890 90.00 90.00 90.00
With the nearest neighbours (Å) after each atom.
Positions (direct):
1 Sr 0.0000 0.0000 0.0000  4 Se 2.72, 2 Ta 2.79
2 Ta 0.0000 0.0000 0.5000  2 Sr 2.79
3 Tc 0.5000 0.5000 0.5000  4 Ta 3.84, 8 Se 3.90
4 Se 0.0000 0.5000 0.0000  2 Sr 2.72
5 Se 0.5000 0.0000 0.0000  2 Sr 2.72

---

Entry 2:
Entry from Alexandria: an optimized crystal structure of Ac5Co2Pb (GGA-PBE).

- DOS at the Fermi energy (states/eV per atom) = 1.013
- energy of formation from the pure elements (eV per atom) = -0.15
- SG = I4/mcm (140)

Lattice parameters (Å, degrees): 9.4368 9.4368 9.4368 127.53 127.53 77.39
With the nearest neighbours (Å) after each atom.
Positions (direct):
1 Ac 0.0000 0.0000 0.0000  4 Co 3.20
2 Ac 0.0277 0.5277 0.8175  3 Co 3.02-3.19
3 Ac 0.2102 0.0277 0.5000  3 Co 3.02-3.19
4 Ac 0.2898 0.7898 0.8175  3 Co 3.02-3.19
5 Ac 0.4723 0.2898 0.5000  3 Co 3.02-3.19
6 Ac 0.5000 0.5000 0.0000  4 Co 3.20
7 Ac 0.5277 0.7102 0.5000  3 Co 3.02-3.19
8 Ac 0.7102 0.2102 0.1825  3 Co 3.02-3.19
9 Ac 0.7898 0.9723 0.5000  3 Co 3.02-3.19
10 Ac 0.9723 0.4723 0.1825  3 Co 3.02-3.19
11 Co 0.1447 0.3553 0.5000  8 Ac 3.02-3.20
12 Co 0.3553 0.8553 0.2105  8 Ac 3.02-3.20
13 Co 0.6447 0.1447 0.7895  8 Ac 3.02-3.20
14 Co 0.8553 0.6447 0.5000  8 Ac 3.02-3.20
15 Pb 0.2500 0.2500 0.0000  10 Ac 3.60-3.68
16 Pb 0.7500 0.7500 0.0000  10 Ac 3.60-3.68

---

Entry 3:
Entry from Alexandria: an optimized crystal structure of Rb3PaAs2S8 (GGA-PBE).

- DOS at the Fermi energy (states/eV per atom) = 0.451
- total DFT energy (no corrections) (eV per atom) = -4.681
- SG = P-3m1 (164)

Lattice parameters (Å, degrees): 7.4369 7.4369 9.3475 90.00 90.00 120.00
With the nearest neighbours (Å) after each atom.
Positions (direct):
1 Rb 0.0000 0.0000 0.0000  6 S 3.62
2 Rb 0.3333 0.6667 0.6624  7 S 3.34-3.72
3 Rb 0.6667 0.3333 0.3376  7 S 3.34-3.72
4 Pa 0.0000 0.0000 0.5000  6 S 2.63
5 As 0.3333 0.6667 0.2452  1 S 2.10
6 As 0.6667 0.3333 0.7548  1 S 2.10
7 S 0.1575 0.3150 0.3209  1 As 2.37, 1 Pa 2.63
8 S 0.1575 0.8425 0.3209  1 As 2.37, 1 Pa 2.63
9 S 0.3150 0.1575 0.6791  1 As 2.37, 1 Pa 2.63
10 S 0.3333 0.6667 0.0201  1 As 2.10
11 S 0.6667 0.3333 0.9799  1 As 2.10
12 S 0.6850 0.8425 0.3209  1 As 2.37, 1 Pa 2.63
13 S 0.8425 0.1575 0.6791  1 As 2.37, 1 Pa 2.63
14 S 0.8425 0.6850 0.6791  1 As 2.37, 1 Pa 2.63